Record 1
Sc2NiO | GGA-PBEsol | optimized geometry

Lattice parameters (Å, degrees): 3.6841 3.6841 6.9258 74.58 74.58 60.00
With the nearest neighbours (Å) after each atom.
Fractional positions:
Sc1 0.9053 0.9053 0.2840  1 O 1.87
Sc2 0.0947 0.0947 0.7160  1 O 1.87
Ni1 0.5000 0.5000 0.5000  6 Sc 2.56
O1 0.0000 0.0000 0.0000  2 Sc 1.87

Crystal system: trigonal
V (Å³ per atom): 19.368
Energy relative to the elements, uncorrected (eV/atom): -1.201

---

Record 2
CsBaP | GGA-PBEsol | optimized geometry

Lattice parameters (Å, degrees): 5.3818 9.1387 9.1299 90.00 90.00 90.00
With the nearest neighbours (Å) after each atom.
Fractional positions:
Cs1 0.2500 0.8343 0.9819  3 P 3.59-3.78, 3 Ba 3.86-4.02
Cs2 0.7500 0.3343 0.5181  3 P 3.59-3.78, 3 Ba 3.86-4.02
Cs3 0.7500 0.1657 0.0181  3 P 3.59-3.78, 3 Ba 3.86-4.02
Cs4 0.2500 0.6657 0.4819  3 P 3.59-3.78, 3 Ba 3.86-4.02
P1 0.2500 0.3973 0.1945  4 Ba 3.18-3.21
P2 0.7500 0.8973 0.3055  4 Ba 3.18-3.21
P3 0.7500 0.6027 0.8055  4 Ba 3.18-3.21
P4 0.2500 0.1027 0.6945  4 Ba 3.18-3.21
Ba1 0.2500 0.4155 0.8468  4 P 3.18-3.21
Ba2 0.7500 0.9155 0.6532  4 P 3.18-3.21
Ba3 0.7500 0.5845 0.1532  4 P 3.18-3.21
Ba4 0.2500 0.0845 0.3468  4 P 3.18-3.21

Crystal system: orthorhombic
V (Å³ per atom): 37.420
DFT formation energy (eV/atom): -0.689

---

Record 3
LiVP3HO10 | GGA-PBEsol | optimized geometry

Lattice parameters (Å, degrees): 5.0882 8.6452 10.0700 102.30 90.00 90.00
With the nearest neighbours (Å) after each atom.
Fractional positions:
Li1 0.7701 0.7500 0.2500  2 O 2.06
Li2 0.2299 0.2500 0.7500  2 O 2.06
V1 0.5000 0.0000 0.0000  6 O 1.96-2.05
V2 0.5000 0.5000 0.5000  6 O 1.96-2.05
P1 0.0045 0.7307 0.4856  4 O 1.51-1.61
P2 0.7435 0.7500 0.7500  4 O 1.50-1.58
P3 0.0045 0.7693 0.0144  4 O 1.51-1.61
P4 0.9955 0.2307 0.9856  4 O 1.51-1.61
P5 0.2565 0.2500 0.2500  4 O 1.50-1.58
P6 0.9955 0.2693 0.5144  4 O 1.51-1.61
H1 0.0000 0.0000 0.5000  2 O 1.22
H2 0.0000 0.5000 0.0000  2 O 1.22
O1 0.8103 0.8979 0.0779  1 P 1.52
O2 0.2913 0.8170 0.0220  1 P 1.51
O3 0.9583 0.8750 0.4206  1 H 1.22
O4 0.9583 0.6250 0.0794  1 H 1.22
O5 0.5895 0.8954 0.8125  1 P 1.50
O6 0.9406 0.7976 0.6439  2 P 1.58-1.61
O7 0.2913 0.6830 0.4780  1 P 1.51
O8 0.8103 0.6021 0.4221  1 P 1.52
O9 0.9406 0.7024 0.8561  2 P 1.58-1.61
O10 0.5895 0.6046 0.6875  1 P 1.50
O11 0.4105 0.3954 0.3125  1 P 1.50
O12 0.0594 0.2976 0.1439  2 P 1.58-1.61
O13 0.1897 0.3979 0.5779  1 P 1.52
O14 0.7087 0.3170 0.5220  1 P 1.51
O15 0.0594 0.2024 0.3561  2 P 1.58-1.61
O16 0.4105 0.1046 0.1875  1 P 1.50
O17 0.0417 0.3750 0.9206  1 H 1.22
O18 0.0417 0.1250 0.5794  1 H 1.22
O19 0.7087 0.1830 0.9780  1 P 1.51
O20 0.1897 0.1021 0.9221  1 P 1.52

Crystal system: monoclinic
V (Å³ per atom): 13.525
Excess energy over the best structure of this formula in the dataset (meV/atom): 0.0